[1]
# Ce3HoSi4 PBE optimized geometry
data_Ce3HoSi4
_chemical_formula_sum 'Ce6 Ho2 Si8'
_cell_length_a 4.047
_cell_length_b 6.327
_cell_length_c 15.713
_cell_angle_alpha 90.00
_cell_angle_beta 90.00
_cell_angle_gamma 90.00
_space_group_name_H-M_alt 'I m m m'
_space_group_IT_number 71
_space_group_name_Hall '-I 2 2'
loop_
_atom_site_label
_atom_site_fract_x
_atom_site_fract_y
_atom_site_fract_z
Ce1 0.000 0.000 0.000
Ce2 0.000 0.500 0.195
Ho1 0.000 0.000 0.500
Si1 0.000 0.313 0.370
# raw total energy	-96.33	eV for the cell shown
# size of the total moment	0.10	μB/atom
# formation energy without anion corrections	-0.512	eV/atom



[2]
# CeHoSi2 PBE optimized geometry
data_CeHoSi2
_chemical_formula_sum 'Ce2 Ho2 Si4'
_cell_length_a 3.864
_cell_length_b 4.346
_cell_length_c 10.646
_cell_angle_alpha 90.00
_cell_angle_beta 90.00
_cell_angle_gamma 90.00
_space_group_name_H-M_alt 'A m m 2'
_space_group_IT_number 38
loop_
_space_group_symop_operation_xyz
'x,y,z'
'-x,-y,z'
'-x,y,z'
'x,-y,z'
'x,y+1/2,z+1/2'
'-x,-y+1/2,z+1/2'
'-x,y+1/2,z+1/2'
'x,-y+1/2,z+1/2'
loop_
_atom_site_label
_atom_site_fract_x
_atom_site_fract_y
_atom_site_fract_z
Ce1 0.000 0.000 0.000
Ho1 0.500 0.000 0.279
Si1 0.000 0.000 0.715
Si2 0.500 0.000 0.567
# raw total energy	-48.49	eV for the cell shown
# size of the total moment	0.15	μB/atom
# formation energy without anion corrections	-0.722	eV/atom



[3]
# Ce2HoSi2 PBE optimized geometry
data_Ce2HoSi2
_chemical_formula_sum 'Ce4 Ho2 Si4'
_cell_length_a 7.510
_cell_length_b 7.510
_cell_length_c 4.305
_cell_angle_alpha 90.00
_cell_angle_beta 90.00
_cell_angle_gamma 90.00
_space_group_name_H-M_alt 'P 4/m b m'
_space_group_IT_number 127
_space_group_name_Hall '-P 4 2ab'
loop_
_atom_site_label
_atom_site_fract_x
_atom_site_fract_y
_atom_site_fract_z
Ce1 0.178 0.322 0.000
Ho1 0.000 0.000 0.500
Si1 0.116 0.616 0.500
# raw total energy	-60.76	eV for the cell shown
# size of the total moment	0.29	μB/atom
# formation energy without anion corrections	-0.617	eV/atom



[4]
# CeHoSi PBE optimized geometry
data_CeHoSi
_chemical_formula_sum 'Ce4 Ho4 Si4'
_cell_length_a 6.881
_cell_length_b 6.881
_cell_length_c 6.881
_cell_angle_alpha 90.00
_cell_angle_beta 90.00
_cell_angle_gamma 90.00
_space_group_name_H-M_alt 'F -4 3 m'
_space_group_IT_number 216
_space_group_name_Hall 'F -4 2 3'
loop_
_atom_site_label
_atom_site_fract_x
_atom_site_fract_y
_atom_site_fract_z
Ce1 0.000 0.000 0.000
Ho1 0.000 0.000 0.500
Si1 0.250 0.250 0.750
# raw total energy	-67.91	eV for the cell shown
# size of the total moment	0.24	μB/atom
# formation energy without anion corrections	-0.348	eV/atom



[5]
# CeHoSi PBE optimized geometry
data_CeHoSi
_chemical_formula_sum 'Ce4 Ho4 Si4'
_cell_length_a 4.153
_cell_length_b 4.153
_cell_length_c 16.618
_cell_angle_alpha 90.00
_cell_angle_beta 90.00
_cell_angle_gamma 90.00
_space_group_name_H-M_alt 'I 4/m m m'
_space_group_IT_number 139
_space_group_name_Hall '-I 4 2'
loop_
_atom_site_label
_atom_site_fract_x
_atom_site_fract_y
_atom_site_fract_z
Ce1 0.000 0.500 0.000
Ho1 0.000 0.000 0.180
Si1 0.000 0.000 0.360
# raw total energy	-70.77	eV for the cell shown
# size of the total moment	0.00	μB/atom
# formation energy without anion corrections	-0.586	eV/atom



[6]
# CeHoSi3 PBE optimized geometry
data_CeHoSi3
_chemical_formula_sum 'Ce4 Ho4 Si12'
_cell_length_a 4.211
_cell_length_b 24.494
_cell_length_c 3.950
_cell_angle_alpha 90.00
_cell_angle_beta 90.00
_cell_angle_gamma 90.00
_space_group_name_H-M_alt 'C m c m'
_space_group_IT_number 63
_space_group_name_Hall '-C 2c 2'
loop_
_atom_site_label
_atom_site_fract_x
_atom_site_fract_y
_atom_site_fract_z
Ce1 0.000 0.071 0.250
Ho1 0.000 0.203 0.750
Si1 0.000 0.322 0.750
Si2 0.000 0.381 0.250
Si3 0.000 0.475 0.250
# raw total energy	-121.68	eV for the cell shown
# size of the total moment	0.00	μB/atom
# formation energy without anion corrections	-0.728	eV/atom



[7]
# Ce2HoSi PBE optimized geometry
data_Ce2HoSi
_chemical_formula_sum 'Ce6 Ho3 Si3'
_cell_length_a 3.2402
_cell_length_b 3.2402
_cell_length_c 33.3681
_cell_angle_alpha 90.00
_cell_angle_beta 90.00
_cell_angle_gamma 120.00
_space_group_name_H-M_alt 'R -3 m'
_space_group_IT_number 166
_space_group_name_Hall '-R 3 2"'
loop_
_atom_site_label
_atom_site_fract_x
_atom_site_fract_y
_atom_site_fract_z
Ce1 0.0000 0.0000 0.0957
Ho1 0.0000 0.0000 0.0000
Si1 0.0000 0.0000 0.5000
# raw total energy	-64.38	eV for the cell shown
# size of the total moment	0.00	μB/atom
# formation energy without anion corrections	0.102	eV/atom



[8]
# CeSmHo PBE optimized geometry
data_CeSmHo
_chemical_formula_sum 'Ce1 Sm1 Ho1'
_cell_length_a 3.5295
_cell_length_b 3.5295
_cell_length_c 8.6824
_cell_angle_alpha 90.00
_cell_angle_beta 90.00
_cell_angle_gamma 120.00
_space_group_name_H-M_alt 'P 3 m 1'
_space_group_IT_number 156
loop_
_space_group_symop_operation_xyz
'x,y,z'
'-y,x-y,z'
'-x+y,-x,z'
'-y,-x,z'
'-x+y,y,z'
'x,x-y,z'
loop_
_atom_site_label
_atom_site_fract_x
_atom_site_fract_y
_atom_site_fract_z
Ce1 0.0000 0.0000 0.0000
Sm1 0.6667 0.3333 0.3315
Ho1 0.3333 0.6667 0.6751
# energy of formation from the pure elements	0.070	eV/atom
# raw total energy	-15.02	eV for the cell shown
# size of the total moment	0.19	μB/atom



[9]
# CeSm2Ho4 PBE optimized geometry
data_CeSm2Ho4
_chemical_formula_sum 'Ce2 Sm4 Ho8'
_cell_length_a 3.637
_cell_length_b 22.637
_cell_length_c 5.627
_cell_angle_alpha 90.00
_cell_angle_beta 90.00
_cell_angle_gamma 90.00
_space_group_name_H-M_alt 'C m m m'
_space_group_IT_number 65
_space_group_name_Hall '-C 2 2'
loop_
_atom_site_label
_atom_site_fract_x
_atom_site_fract_y
_atom_site_fract_z
Ce1 0.000 0.000 0.000
Sm1 0.000 0.431 0.500
Ho1 0.000 0.193 0.500
Ho2 0.000 0.327 0.000
# energy of formation from the pure elements	0.218	eV/atom
# raw total energy	-64.32	eV for the cell shown
# size of the total moment	0.15	μB/atom



[10]
# CeSmHo6 PBE optimized geometry
data_CeSmHo6
_chemical_formula_sum 'Ce1 Sm1 Ho6'
_cell_length_a 5.001
_cell_length_b 5.001
_cell_length_c 9.991
_cell_angle_alpha 90.00
_cell_angle_beta 90.00
_cell_angle_gamma 90.00
_space_group_name_H-M_alt 'P 4/m m m'
_space_group_IT_number 123
_space_group_name_Hall '-P 4 2'
loop_
_atom_site_label
_atom_site_fract_x
_atom_site_fract_y
_atom_site_fract_z
Ce1 0.000 0.000 0.000
Sm1 0.000 0.000 0.500
Ho1 0.000 0.500 0.247
Ho2 0.500 0.500 0.000
Ho3 0.500 0.500 0.500
# energy of formation from the pure elements	0.043	eV/atom
# raw total energy	-37.77	eV for the cell shown
# size of the total moment	0.11	μB/atom



[11]
# CeSm2Ho PBE optimized geometry
data_CeSm2Ho
_chemical_formula_sum 'Ce1 Sm2 Ho1'
_cell_length_a 3.553
_cell_length_b 3.553
_cell_length_c 10.140
_cell_angle_alpha 90.00
_cell_angle_beta 90.00
_cell_angle_gamma 90.00
_space_group_name_H-M_alt 'P 4/m m m'
_space_group_IT_number 123
_space_group_name_Hall '-P 4 2'
loop_
_atom_site_label
_atom_site_fract_x
_atom_site_fract_y
_atom_site_fract_z
Ce1 0.000 0.000 0.000
Sm1 0.500 0.500 0.246
Ho1 0.000 0.000 0.500
# energy of formation from the pure elements	0.064	eV/atom
# raw total energy	-19.69	eV for the cell shown
# size of the total moment	0.15	μB/atom



[12]
# CeSm3Ho4 PBE optimized geometry
data_CeSm3Ho4
_chemical_formula_sum 'Ce1 Sm3 Ho4'
_cell_length_a 6.179
_cell_length_b 3.564
_cell_length_c 11.760
_cell_angle_alpha 90.00
_cell_angle_beta 100.16
_cell_angle_gamma 90.00
_space_group_name_H-M_alt 'P 1 2/m 1'
_space_group_IT_number 10
loop_
_space_group_symop_operation_xyz
'x,y,z'
'-x,-y,-z'
'-x,y,-z'
'x,-y,z'
loop_
_atom_site_label
_atom_site_fract_x
_atom_site_fract_y
_atom_site_fract_z
Ce1 0.000 0.000 0.000
Sm1 0.000 0.500 0.500
Sm2 0.500 0.000 0.500
Sm3 0.500 0.500 0.000
Ho1 0.246 0.500 0.247
Ho2 0.247 0.000 0.751
# energy of formation from the pure elements	0.040	eV/atom
# raw total energy	-38.08	eV for the cell shown
# size of the total moment	0.11	μB/atom



| no. | mass density (Mg/m³) |
| --- | --- |
| 1 | 5.8 |
| 2 | 6.7 |
| 3 | 6.9 |
| 4 | 6.8 |
| 5 | 7.7 |
| 6 | 6.3 |
| 7 | 7.8 |
| 8 | 8.1 |
| 9 | 7.9 |
| 10 | 8.5 |
| 11 | 7.9 |
| 12 | 8.1 |